# ThZrAg, optimized geometry, DFT PBE
data_ThZrAg
_cell_length_a 5.061
_cell_length_b 5.061
_cell_length_c 3.420
_cell_angle_alpha 90.00
_cell_angle_beta 90.00
_cell_angle_gamma 120.00
_symmetry_space_group_name_H-M 'P 1'
_symmetry_Int_Tables_number 1
_symmetry_space_group_name_Hall 'P 1'
loop_
_atom_site_label
_atom_site_type_symbol
_atom_site_fract_x
_atom_site_fract_y
_atom_site_fract_z
_atom_site_occupancy
Th1 Th 0.000 0.000 0.000 1
Zr1 Zr 0.333 0.667 0.501 1
Ag1 Ag 0.667 0.333 0.497 1
# - space-group type = P3m1, No. 156
# - E_tot (eV per atom) = -6.09
# - energy relative to the elements (meV per atom) = 180
# - energy above the most stable polymorph in this dataset (eV per atom) = 0.204
# - magnetization (Bohr magnetons per cell) = 0.00